[1]
Compound: Na3Ce2CuSe6
Source: Alexandria via LeMat-Bulk
Functional: GGA-PBE
Structure: optimized geometry

abc: 7.125 7.125 7.347
angles: 99.28 99.28 120.05
Site moments in Bohr magnetons follow the coordinates.
Sites, in units of the cell vectors:
Se1 0.401 0.075 0.226  -0.01
Se2 0.250 0.250 0.775  -0.01
Se3 0.075 0.401 0.226  -0.01
Na1 0.500 0.500 0.500  0.00
Se4 0.599 0.925 0.774  -0.01
Cu1 0.000 0.000 0.000  -0.03
Na2 0.834 0.166 0.500  0.00
Na3 0.166 0.834 0.500  0.00
Se5 0.750 0.750 0.225  -0.01
Ce1 0.667 0.333 0.000  0.17
Ce2 0.333 0.667 0.000  0.17
Se6 0.925 0.599 0.774  -0.01

## Properties
uncorrected energy = -4.648 eV per atom
density of states at the Fermi level = 3.46 states/eV/cell
E_form (uncorrected) = -14.95 eV per formula unit

[2]
Compound: Na4Ce3CuSe8
Source: Alexandria via LeMat-Bulk
Functional: GGA-PBE
Structure: optimized geometry

abc: 8.279 8.452 8.394
angles: 119.80 119.55 90.00
Site moments in Bohr magnetons follow the coordinates.
Sites, in units of the cell vectors:
Ce1 0.000 0.500 0.500  0.44
Se1 0.250 0.736 0.500  -0.02
Se2 0.770 0.281 0.017  -0.03
Se3 0.247 0.281 0.017  -0.03
Ce2 0.500 0.500 0.000  0.45
Ce3 0.500 0.500 0.500  0.44
Se4 0.255 0.262 0.511  -0.02
Na1 0.000 0.000 0.000  0.00
Se5 0.753 0.719 0.983  -0.03
Na2 0.500 0.000 0.500  0.00
Se6 0.750 0.264 0.500  -0.02
Se7 0.745 0.738 0.489  -0.02
Na3 0.500 0.000 0.000  0.00
Cu1 0.000 0.500 0.000  -0.05
Na4 0.000 0.000 0.500  0.00
Se8 0.230 0.719 0.983  -0.03

## Properties
uncorrected energy = -4.778 eV per atom
density of states at the Fermi level = 13.92 states/eV/cell
E_form (uncorrected) = -21.40 eV per formula unit